Here is a relaxed structure of CdSiPW2 from Alexandria via LeMat-Bulk. Energies are from PBE.

Lattice parameters (Å, degrees): 5.0306 5.0306 4.3263 90.00 90.00 90.00
Positions (direct):
1 Cd 0.0000 0.0000 0.0000
2 Si 0.0000 0.0000 0.5000
3 P 0.5000 0.5000 0.5000
4 W 0.0000 0.5000 0.0000
5 W 0.5000 0.0000 0.0000

Output
- space group = No. 123
- DOS at the Fermi energy (states/eV/f.u.) = 9.0
- energy (eV per atom) = -4.72
- crystal system = tetragonal

---

Here is a relaxed structure of Zr2CdSiP from Alexandria via LeMat-Bulk. Energies are from PBE.

Lattice parameters (Å, degrees): 4.9123 4.9123 4.6935 90.00 90.00 90.00
Positions (direct):
1 Zr 0.0000 0.5000 0.0000
2 Zr 0.5000 0.0000 0.0000
3 Cd 0.0000 0.0000 0.5000
4 Si 0.5000 0.5000 0.5000
5 P 0.0000 0.0000 0.0000

Output
- space group = No. 123
- DOS at the Fermi energy (states/eV/f.u.) = 3.9
- energy (eV per atom) = -5.65
- crystal system = tetragonal

---

Here is a relaxed structure of SmCdP2 from Alexandria via LeMat-Bulk. Energies are from PBE.

Lattice parameters (Å, degrees): 6.5429 6.5429 6.5429 37.02 37.02 37.02
Positions (direct):
1 Sm 0.0000 0.0000 0.0000
2 Cd 0.5000 0.5000 0.5000
3 P 0.2474 0.2474 0.2474
4 P 0.7526 0.7526 0.7526

Output
- space group = No. 166
- DOS at the Fermi energy (states/eV/f.u.) = 3.1
- energy of formation (eV/atom) = -0.525
- crystal system = trigonal

---

Here is a relaxed structure of Cd2Sn2P from Alexandria via LeMat-Bulk. Energies are from PBE.

Lattice parameters (Å, degrees): 6.9647 6.9647 5.1716 90.00 90.00 90.00
Positions (direct):
1 Cd 0.1434 0.3566 0.0000
2 Cd 0.3566 0.8566 0.0000
3 Cd 0.6434 0.1434 0.0000
4 Cd 0.8566 0.6434 0.0000
5 Sn 0.1697 0.6697 0.5000
6 Sn 0.3303 0.1697 0.5000
7 Sn 0.6697 0.8303 0.5000
8 Sn 0.8303 0.3303 0.5000
9 P 0.0000 0.0000 0.0000
10 P 0.5000 0.5000 0.0000

Output
- space group = No. 127
- DOS at the Fermi energy (states/eV/f.u.) = 3.6
- energy of formation (eV/atom) = 0.256
- crystal system = tetragonal

---

Here is a relaxed structure of CdSn2P from Alexandria via LeMat-Bulk. Energies are from PBE.

Lattice parameters (Å, degrees): 9.8101 9.8101 9.8101 21.49 21.49 21.49
Positions (direct):
1 Cd 0.0000 0.0000 0.0000
2 Sn 0.1067 0.1067 0.1067
3 Sn 0.8933 0.8933 0.8933
4 P 0.5000 0.5000 0.5000

Output
- space group = No. 166
- DOS at the Fermi energy (states/eV/f.u.) = 1.5
- energy of formation (eV/atom) = 0.147
- crystal system = trigonal

---

Here is a relaxed structure of CdSnP3 from Alexandria via LeMat-Bulk. Energies are from PBE.

Lattice parameters (Å, degrees): 4.9878 4.9878 4.9878 90.00 90.00 90.00
Positions (direct):
1 Cd 0.0000 0.0000 0.0000
2 Sn 0.5000 0.5000 0.5000
3 P 0.0000 0.0000 0.5000
4 P 0.0000 0.5000 0.0000
5 P 0.5000 0.0000 0.0000

Output
- space group = No. 221
- DOS at the Fermi energy (states/eV/f.u.) = 6.0
- energy of formation (eV/atom) = 1.084
- crystal system = cubic

---

Here is a relaxed structure of CdSn2P from Alexandria via LeMat-Bulk. Energies are from PBE.

Lattice parameters (Å, degrees): 5.1212 5.1212 5.1212 60.00 60.00 60.00
Positions (direct):
1 Cd 0.0000 0.0000 0.0000
2 Sn 0.2500 0.2500 0.2500
3 Sn 0.7500 0.7500 0.7500
4 P 0.5000 0.5000 0.5000

Output
- space group = No. 225
- DOS at the Fermi energy (states/eV/f.u.) = 3.6
- energy of formation (eV/atom) = 0.296
- crystal system = cubic

---

Here is a relaxed structure of CdSn2P from Alexandria via LeMat-Bulk. Energies are from PBE.

Lattice parameters (Å, degrees): 7.5025 7.5025 7.5025 128.78 128.78 75.37
Positions (direct):
1 Cd 0.0000 0.0000 0.0000
2 Cd 0.7500 0.2500 0.5000
3 Sn 0.1533 0.6250 0.0283
4 Sn 0.3750 0.4033 0.5283
5 Sn 0.5967 0.1250 0.9717
6 Sn 0.8750 0.8467 0.4717
7 P 0.2500 0.7500 0.5000
8 P 0.5000 0.5000 0.0000

Output
- space group = No. 122
- DOS at the Fermi energy (states/eV/f.u.) = 1.5
- energy of formation (eV/atom) = 0.115
- crystal system = tetragonal

---

Here is a relaxed structure of CdSn2P from Alexandria via LeMat-Bulk. Energies are from PBE.

Lattice parameters (Å, degrees): 8.1490 8.1490 8.1490 27.21 27.21 27.21
Positions (direct):
1 Cd 0.0000 0.0000 0.0000
2 Sn 0.5716 0.5716 0.5716
3 Sn 0.7629 0.7629 0.7629
4 P 0.1691 0.1691 0.1691

Output
- space group = No. 160
- DOS at the Fermi energy (states/eV/f.u.) = 2.2
- energy of formation (eV/atom) = 0.067
- crystal system = trigonal

---

Here is a relaxed structure of Cd3SnP from Alexandria via LeMat-Bulk. Energies are from PBE.

Lattice parameters (Å, degrees): 5.1353 5.1353 5.1353 90.00 90.00 90.00
Positions (direct):
1 Cd 0.0000 0.0000 0.5000
2 Cd 0.0000 0.5000 0.0000
3 Cd 0.5000 0.0000 0.0000
4 Sn 0.5000 0.5000 0.5000
5 P 0.0000 0.0000 0.0000

Output
- space group = No. 221
- DOS at the Fermi energy (states/eV/f.u.) = 4.5
- energy of formation (eV/atom) = 0.349
- crystal system = cubic

---

Here is a relaxed structure of Cd2Sn2P from Alexandria via LeMat-Bulk. Energies are from PBE.

Lattice parameters (Å, degrees): 7.2156 7.2156 5.0239 90.00 90.00 90.00
Positions (direct):
1 Cd 0.1630 0.3370 0.0000
2 Cd 0.3370 0.8370 0.0000
3 Cd 0.6630 0.1630 0.0000
4 Cd 0.8370 0.6630 0.0000
5 Sn 0.1557 0.6557 0.5000
6 Sn 0.3443 0.1557 0.5000
7 Sn 0.6557 0.8443 0.5000
8 Sn 0.8443 0.3443 0.5000
9 P 0.0000 0.0000 0.5000
10 P 0.5000 0.5000 0.5000

Output
- space group = No. 127
- DOS at the Fermi energy (states/eV/f.u.) = 3.1
- energy of formation (eV/atom) = 0.243
- crystal system = tetragonal

---

Here is a relaxed structure of Cd3SnP from Alexandria via LeMat-Bulk. Energies are from PBE.

Lattice parameters (Å, degrees): 5.4851 5.4851 5.4851 90.00 90.00 90.00
Positions (direct):
1 Cd 0.0000 0.0000 0.5000
2 Cd 0.0000 0.5000 0.0000
3 Cd 0.5000 0.0000 0.0000
4 Sn 0.0000 0.0000 0.0000
5 P 0.5000 0.5000 0.5000

Output
- space group = No. 221
- DOS at the Fermi energy (states/eV/f.u.) = 4.2
- energy of formation (eV/atom) = 0.758
- crystal system = cubic

---

Q: What is the formula in the eleventh record?
A: Cd2Sn2P

---

Q: What is the DOS at the Fermi energy in the twelfth record?
A: 4.2 states/eV/f.u.